First-principles (GGA-PBE) data for an optimized crystal structure of Sr11In9Au4, as listed in the Alexandria database.

abc: 4.0345 14.1960 14.1960
angles: 112.79 90.00 90.00
Last column: nearest neighbours and their distance in Å.
Sites, in units of the cell vectors:
In 0.5000 0.0788 0.2168  1 Au 3.21, 1 In 3.26, 6 Sr 3.48-3.59
In 0.5000 0.3658 0.8332  1 In 3.13, 1 Au 3.24
Au 0.5000 0.4478 0.2450  6 Sr 3.13-3.21, 3 In 3.21-3.40
Sr 0.0000 0.6945 0.6945  4 Au 3.20
Sr 0.0000 0.0000 0.0000  8 In 3.48, 2 Sr 3.86
Sr 0.0000 0.5882 0.9345  2 Au 3.13, 2 In 3.49
Sr 0.0000 0.8368 0.1632  8 In 3.53-3.80, 3 Sr 3.76-3.86
In 0.5000 0.9212 0.7832  1 Au 3.21, 1 In 3.26, 6 Sr 3.48-3.59
In 0.5000 0.7832 0.9212  1 Au 3.21, 1 In 3.26, 6 Sr 3.48-3.59
Sr 0.0000 0.1632 0.8368  8 In 3.53-3.80, 3 Sr 3.76-3.86
Sr 0.0000 0.0655 0.4118  2 Au 3.13, 2 In 3.49
Sr 0.0000 0.3720 0.6280  4 Au 3.21, 4 In 3.57
In 0.5000 0.5000 0.5000  4 Au 3.40, 8 Sr 3.64-3.66
Au 0.5000 0.7550 0.5522  6 Sr 3.13-3.21, 3 In 3.21-3.40
Sr 0.0000 0.9345 0.5882  2 Au 3.13, 2 In 3.49
Sr 0.0000 0.6280 0.3720  4 Au 3.21, 4 In 3.57
Au 0.5000 0.2450 0.4478  6 Sr 3.13-3.21, 3 In 3.21-3.40
In 0.5000 0.8332 0.3658  1 In 3.13, 1 Au 3.24
Sr 0.0000 0.3055 0.3055  4 Au 3.20
In 0.5000 0.1668 0.6342  1 In 3.13, 1 Au 3.24
In 0.5000 0.2168 0.0788  1 Au 3.21, 1 In 3.26, 6 Sr 3.48-3.59
In 0.5000 0.6342 0.1668  1 In 3.13, 1 Au 3.24
Au 0.5000 0.5522 0.7550  6 Sr 3.13-3.21, 3 In 3.21-3.40
Sr 0.0000 0.4118 0.0655  2 Au 3.13, 2 In 3.49

Output
**SG**: Cmmm (65)
**Energy relative to the elements**: -0.53 eV/atom
**Energy**: -2.878 eV/atom
**N(E_F)**: 16.38 states/eV per cell

First-principles (GGA-PBE) data for an optimized crystal structure of Co5Rh, as listed in the Alexandria database.

abc: 3.6046 5.6669 3.6012
angles: 108.53 90.00 90.00
Last column: nearest neighbours and their distance in Å.
Sites, in units of the cell vectors:
Co 0.0000 0.3234 0.6617  10 Co 2.47-2.58, 2 Rh 2.58
Co 0.0000 0.6667 0.3333  4 Rh 2.55, 8 Co 2.58
Rh 0.5000 0.6667 0.8333  12 Co 2.55-2.58
Co 0.0000 0.0099 0.0050  10 Co 2.47-2.58, 2 Rh 2.58
Co 0.5000 0.3241 0.1621  10 Co 2.47-2.58, 2 Rh 2.57
Co 0.5000 0.0092 0.5046  10 Co 2.47-2.58, 2 Rh 2.57

Output
**SG**: Cmmm (65)
**Energy relative to the elements**: 0.04 eV/atom
**Energy**: -7.109 eV/atom
**N(E_F)**: 7.21 states/eV per cell

First-principles (GGA-PBE) data for an optimized crystal structure of PrEuDyTh, as listed in the Alexandria database.

abc: 5.7997 5.7997 5.7997
angles: 60.00 60.00 60.00
Last column: nearest neighbours and their distance in Å.
Sites, in units of the cell vectors:
Dy 0.0000 0.0000 0.0000  4 Pr 3.55, 4 Th 3.55
Pr 0.2500 0.2500 0.2500  4 Eu 3.55, 4 Dy 3.55
Eu 0.5000 0.5000 0.5000  4 Th 3.55, 4 Pr 3.55
Th 0.7500 0.7500 0.7500  4 Eu 3.55, 4 Dy 3.55

Output
**SG**: F-43m (216)
**Energy relative to the elements**: 0.21 eV/atom
**Energy**: -6.556 eV/atom
**N(E_F)**: 7.49 states/eV per cell

First-principles (GGA-PBE) data for an optimized crystal structure of OsC2S, as listed in the Alexandria database.

abc: 4.5701 4.5701 5.3024
angles: 64.47 64.47 90.00
Last column: nearest neighbours and their distance in Å.
Sites, in units of the cell vectors:
S 0.2500 0.7500 0.5000  4 C 1.83
C 0.8750 0.8379 0.7500  2 S 1.83, 2 Os 2.03
Os 0.0000 0.0000 0.0000  4 C 2.03
C 0.3750 0.4121 0.7500  2 S 1.83, 2 Os 2.03
C 0.5879 0.1250 0.2500  2 S 1.83, 2 Os 2.03
S 0.5000 0.5000 0.0000  4 C 1.83
Os 0.7500 0.2500 0.5000  4 C 2.03
C 0.1621 0.6250 0.2500  2 S 1.83, 2 Os 2.03

Output
**SG**: I-42d (122)
**Energy**: -7.283 eV/atom
**N(E_F)**: 0.43 states/eV per cell

First-principles (GGA-PBE) data for an optimized crystal structure of Mg2CuRh, as listed in the Alexandria database.

abc: 5.7116 5.7116 5.7116
angles: 57.86 150.42 131.48
Last column: nearest neighbours and their distance in Å.
Sites, in units of the cell vectors:
Mg 0.0000 0.2466 0.2466  1 Cu 2.47, 1 Rh 2.53
Mg 0.0000 0.7534 0.7534  1 Cu 2.47, 1 Rh 2.53
Cu 0.0000 0.0000 0.0000  2 Mg 2.47
Rh 0.0000 0.5000 0.5000  2 Mg 2.53, 4 Cu 2.76

Output
**SG**: Immm (71)
**Energy relative to the elements**: 0.33 eV/atom
**Energy**: -3.333 eV/atom
**N(E_F)**: 2.25 states/eV per cell

First-principles (GGA-PBE) data for an optimized crystal structure of LiCu2, as listed in the Alexandria database.

abc: 5.0281 5.0281 6.1903
angles: 75.00 75.00 29.49
Last column: nearest neighbours and their distance in Å.
Sites, in units of the cell vectors:
Li 0.7243 0.7243 0.0462  8 Cu 2.52-2.66, 4 Li 2.56-2.68
Cu 0.9947 0.9947 0.9983  8 Cu 2.55-2.62, 4 Li 2.57-2.67
Cu 0.3322 0.3322 0.3358  7 Cu 2.56-2.60, 5 Li 2.61-2.65
Li 0.0523 0.0523 0.3965  8 Cu 2.53-2.67, 4 Li 2.56-2.68
Cu 0.3919 0.3919 0.7206  4 Li 2.53-2.57, 8 Cu 2.55-2.65
Cu 0.6712 0.6712 0.6693  3 Li 2.52-2.62, 9 Cu 2.56-2.65

Output
**SG**: Cm (8)
**Energy relative to the elements**: -0.04 eV/atom
**Energy**: -3.406 eV/atom
**N(E_F)**: 1.60 states/eV per cell

First-principles (GGA-PBE) data for an optimized crystal structure of Ti2SeS3, as listed in the Alexandria database.

abc: 6.8678 6.8678 7.7668
angles: 63.76 63.76 60.00
Last column: nearest neighbours and their distance in Å.
Sites, in units of the cell vectors:
S 0.2640 0.7628 0.2105  3 Ti 2.43
S 0.2372 0.2372 0.7895  3 Ti 2.43
Ti 0.0000 0.5000 0.0000  4 S 2.43, 2 Se 2.56
Ti 0.5000 0.5000 0.0000  4 S 2.43, 2 Se 2.56
S 0.7628 0.7628 0.2105  3 Ti 2.43
Se 0.2525 0.2525 0.2426  3 Ti 2.56
Se 0.7475 0.7475 0.7574  3 Ti 2.56
Ti 0.5000 0.0000 0.0000  4 S 2.43, 2 Se 2.56
Ti 0.0000 0.0000 0.0000  6 S 2.43
S 0.7628 0.2640 0.2105  3 Ti 2.43
S 0.7360 0.2372 0.7895  3 Ti 2.43
S 0.2372 0.7360 0.7895  3 Ti 2.43

Output
**Excess energy over the best structure of this formula in the dataset**: 0.00 eV/f.u.
**SG**: R-3m (166)
**Energy**: -6.514 eV/atom
**N(E_F)**: 1.40 states/eV per cell

First-principles (GGA-PBE) data for an optimized crystal structure of Nb2FeIr, as listed in the Alexandria database.

abc: 2.9091 2.9091 7.2495
angles: 90.00 90.00 90.00
Last column: nearest neighbours and their distance in Å.
Sites, in units of the cell vectors:
Nb 0.0000 0.0000 0.2314  4 Fe 2.65, 4 Ir 2.83, 4 Nb 2.91
Nb 0.0000 0.0000 0.7686  4 Fe 2.65, 4 Ir 2.83, 4 Nb 2.91
Fe 0.5000 0.5000 0.0000  8 Nb 2.65, 4 Fe 2.91
Ir 0.5000 0.5000 0.5000  8 Nb 2.83, 4 Ir 2.91

Output
**SG**: P4/mmm (123)
**Energy relative to the elements**: -0.22 eV/atom
**Energy**: -9.586 eV/atom
**N(E_F)**: 3.20 states/eV per cell

First-principles (GGA-PBE) data for an optimized crystal structure of CePm2Ru, as listed in the Alexandria database.

abc: 3.4959 3.4959 9.0439
angles: 90.00 90.00 90.00
Last column: nearest neighbours and their distance in Å.
Sites, in units of the cell vectors:
Ce 0.5000 0.5000 0.5000  4 Ce 3.50, 8 Pm 3.75
Ru 0.5000 0.5000 0.0000  8 Pm 3.00
Pm 0.0000 0.0000 0.8112  4 Ru 3.00
Pm 0.0000 0.0000 0.1888  4 Ru 3.00

Output
**Excess energy over the best structure of this formula in the dataset**: 0.95 eV/f.u.
**SG**: P4/mmm (123)
**Energy relative to the elements**: -0.02 eV/atom
**Energy**: -6.203 eV/atom
**N(E_F)**: 6.93 states/eV per cell

First-principles (GGA-PBE) data for an optimized crystal structure of Ca2TeMoS, as listed in the Alexandria database.

abc: 5.8748 5.2907 5.8748
angles: 90.00 90.00 90.00
Last column: nearest neighbours and their distance in Å.
Sites, in units of the cell vectors:
Ca 0.5000 0.0000 0.0000  2 Te 2.94
Te 0.0000 0.0000 0.0000  2 S 2.65, 4 Ca 2.94
Ca 0.0000 0.0000 0.5000  2 Te 2.94
S 0.0000 0.5000 0.0000  2 Te 2.65
Mo 0.5000 0.5000 0.5000  8 Ca 3.95, 4 S 4.15

Output
**SG**: P4/mmm (123)
**Energy**: -3.837 eV/atom
**N(E_F)**: 2.91 states/eV per cell

First-principles (GGA-PBE) data for an optimized crystal structure of Nb2BAsSe, as listed in the Alexandria database.

abc: 4.5849 3.9358 4.5849
angles: 90.00 90.00 90.00
Last column: nearest neighbours and their distance in Å.
Sites, in units of the cell vectors:
Se 0.0000 0.5000 0.0000  2 B 1.97
Nb 0.0000 0.0000 0.5000  2 B 2.29
B 0.0000 0.0000 0.0000  2 Se 1.97
As 0.5000 0.5000 0.5000  8 Nb 3.02, 4 Se 3.24
Nb 0.5000 0.0000 0.0000  2 B 2.29

Output
**SG**: P4/mmm (123)
**Energy**: -6.656 eV/atom
**N(E_F)**: 4.09 states/eV per cell

First-principles (GGA-PBE) data for an optimized crystal structure of FeCoRe, as listed in the Alexandria database.

abc: 4.4499 4.4499 4.4499
angles: 145.98 131.81 60.30
Last column: nearest neighbours and their distance in Å.
Sites, in units of the cell vectors:
Re 0.6662 0.6662 0.0000  5 Fe 2.54-2.59, 5 Co 2.55-2.58, 2 Re 2.60
Fe 0.3359 0.3359 0.0000  5 Re 2.54-2.59, 5 Co 2.56-2.60, 2 Fe 2.60
Co 0.9979 0.9979 0.0000  5 Re 2.55-2.58, 5 Fe 2.56-2.60, 2 Co 2.60

Output
**Excess energy over the best structure of this formula in the dataset**: 0.02 eV/f.u.
**SG**: Imm2 (44)
**Energy relative to the elements**: 0.05 eV/atom
**Energy**: -9.288 eV/atom
**N(E_F)**: 3.51 states/eV per cell

First-principles (GGA-PBE) data for an optimized crystal structure of MnNiSbTe2, as listed in the Alexandria database.

abc: 5.1267 5.1267 4.9516
angles: 90.00 90.00 90.00
Last column: nearest neighbours and their distance in Å.
Sites, in units of the cell vectors:
Ni 0.5000 0.5000 0.5000  8 Te 3.56, 4 Sb 3.63
Te 0.0000 0.5000 0.0000  2 Mn 2.56
Te 0.5000 0.0000 0.0000  2 Mn 2.56
Mn 0.0000 0.0000 0.0000  2 Sb 2.48, 4 Te 2.56
Sb 0.0000 0.0000 0.5000  2 Mn 2.48

Output
**Excess energy over the best structure of this formula in the dataset**: 1.31 eV/f.u.
**SG**: P4/mmm (123)
**Energy**: -4.308 eV/atom
**N(E_F)**: 5.85 states/eV per cell

First-principles (GGA-PBE) data for an optimized crystal structure of Mg2H8Rh, as listed in the Alexandria database.

abc: 3.1338 4.1899 7.1225
angles: 111.09 102.71 90.00
Last column: nearest neighbours and their distance in Å.
Sites, in units of the cell vectors:
H 0.9959 0.2021 0.9918  1 H 1.74, 2 Rh 1.79
H 0.3907 0.0848 0.7815  1 Rh 1.68
H 0.0041 0.7979 0.0082  1 H 1.74, 2 Rh 1.79
Rh 0.5000 0.0000 0.0000  8 H 1.67-1.79
Mg 0.1648 0.6949 0.3296  7 H 1.99-2.11
H 0.2412 0.2325 0.4824  3 Mg 1.99-2.11
Mg 0.8352 0.3051 0.6704  7 H 1.99-2.11
H 0.4086 0.6077 0.8173  1 Rh 1.67
H 0.6093 0.9152 0.2185  1 Rh 1.68
H 0.7588 0.7675 0.5176  3 Mg 1.99-2.11
H 0.5914 0.3923 0.1827  1 Rh 1.67

Output
**SG**: C2/m (12)
**Energy**: -3.384 eV/atom
**N(E_F)**: 1.15 states/eV per cell

First-principles (GGA-PBE) data for an optimized crystal structure of AcDyNiHg, as listed in the Alexandria database.

abc: 5.2987 5.2987 5.2987
angles: 60.00 60.00 60.00
Last column: nearest neighbours and their distance in Å.
Sites, in units of the cell vectors:
Hg 0.2500 0.2500 0.2500  4 Ac 3.24, 4 Dy 3.24
Ac 0.0000 0.0000 0.0000  4 Hg 3.24, 4 Ni 3.24
Dy 0.5000 0.5000 0.5000  4 Ni 3.24, 4 Hg 3.24
Ni 0.7500 0.7500 0.7500  4 Ac 3.24, 4 Dy 3.24

Output
**SG**: F-43m (216)
**Energy relative to the elements**: -0.23 eV/atom
**Energy**: -3.933 eV/atom
**N(E_F)**: 3.48 states/eV per cell

First-principles (GGA-PBE) data for an optimized crystal structure of HfNbZnIr2, as listed in the Alexandria database.

abc: 4.5164 4.6259 4.5164
angles: 90.00 90.00 90.00
Last column: nearest neighbours and their distance in Å.
Sites, in units of the cell vectors:
Zn 0.0000 0.0000 0.0000  4 Ir 2.26, 2 Nb 2.31
Hf 0.5000 0.5000 0.5000  4 Nb 3.19, 8 Ir 3.23
Ir 0.0000 0.0000 0.5000  2 Zn 2.26
Nb 0.0000 0.5000 0.0000  2 Zn 2.31
Ir 0.5000 0.0000 0.0000  2 Zn 2.26

Output
**SG**: P4/mmm (123)
**Energy relative to the elements**: 0.76 eV/atom
**Energy**: -7.045 eV/atom
**N(E_F)**: 5.07 states/eV per cell

First-principles (GGA-PBE) data for an optimized crystal structure of HgH3F6, as listed in the Alexandria database.

abc: 10.7023 11.9501 8.4158
angles: 26.15 45.20 35.02
Last column: nearest neighbours and their distance in Å.
Sites, in units of the cell vectors:
F 0.4445 0.5118 0.1095  1 F 1.48
F 0.1578 0.1376 0.3662  1 H 1.04
F 0.1765 0.9852 0.2723  1 H 1.01
F 0.5555 0.4882 0.8905  1 F 1.48
H 0.6471 0.9307 0.3077  1 F 0.99
F 0.8422 0.8624 0.6338  1 H 1.04
Hg 0.0000 0.0000 0.0000  2 F 2.09
H 0.2827 0.1600 0.2463  1 F 1.04
F 0.2103 0.2241 0.5692  1 H 0.99
H 0.3529 0.0693 0.6923  1 F 0.99
H 0.7173 0.8400 0.7537  1 F 1.04
F 0.7897 0.7759 0.4308  1 H 0.99
F 0.7455 0.4149 0.5871  1 Hg 2.09, 1 F 2.28
H 0.8334 0.9515 0.6849  1 F 1.01
Hg 0.5000 0.5000 0.5000  6 F 2.28-2.41
F 0.2545 0.5851 0.4129  1 Hg 2.09, 1 F 2.28
H 0.1666 0.0485 0.3151  1 F 1.01
F 0.4473 0.1762 0.0966  2 H 1.31-1.43
F 0.5527 0.8238 0.9034  2 H 1.31-1.43
F 0.8235 0.0148 0.7277  1 H 1.01

Output
**Excess energy over the best structure of this formula in the dataset**: 0.00 eV/f.u.
**SG**: P-1 (2)
**Energy**: -3.530 eV/atom
**N(E_F)**: 0.00 states/eV per cell

First-principles (GGA-PBE) data for an optimized crystal structure of BaMn2Si, as listed in the Alexandria database.

abc: 3.0812 3.3560 7.1342
angles: 90.00 90.00 90.00
Last column: nearest neighbours and their distance in Å.
Sites, in units of the cell vectors:
Mn 0.0000 0.0000 0.3907  1 Mn 2.01
Mn 0.0000 0.0000 0.1093  1 Mn 2.01
Ba 0.5000 0.5000 0.7500  4 Ba 3.08-3.36, 8 Mn 3.43
Si 0.5000 0.5000 0.2500  8 Mn 2.49

Output
**SG**: Pmmm (47)
**Energy**: -5.939 eV/atom
**N(E_F)**: 5.20 states/eV per cell

First-principles (GGA-PBE) data for an optimized crystal structure of La2TbPmSb4, as listed in the Alexandria database.

abc: 4.5419 7.8542 7.8622
angles: 70.50 90.00 90.00
Last column: nearest neighbours and their distance in Å.
Sites, in units of the cell vectors:
La 0.5000 0.0000 0.5000  6 Sb 3.24
Sb 0.5000 0.7397 0.2560  2 Tb 3.16, 1 Pm 3.18, 3 La 3.24-3.26
La 0.0000 0.0000 0.0000  6 Sb 3.26
Sb 0.0000 0.2584 0.2499  1 Tb 3.16, 2 Pm 3.18, 3 La 3.24-3.26
Sb 0.0000 0.7416 0.7501  1 Tb 3.16, 2 Pm 3.18, 3 La 3.24-3.26
Tb 0.0000 0.5000 0.5000  6 Sb 3.16
Pm 0.5000 0.5000 0.0000  6 Sb 3.18
Sb 0.5000 0.2603 0.7440  2 Tb 3.16, 1 Pm 3.18, 3 La 3.24-3.26

Output
**SG**: P2/m (10)
**Energy**: -5.685 eV/atom
**N(E_F)**: 0.98 states/eV per cell

First-principles (GGA-PBE) data for an optimized crystal structure of Pr3Nd3SmZn2, as listed in the Alexandria database.

abc: 3.7428 9.2704 9.2704
angles: 120.00 90.00 90.00
Last column: nearest neighbours and their distance in Å.
Sites, in units of the cell vectors:
Nd 0.0000 0.3808 0.0000  6 Pr 3.41-3.76, 4 Zn 3.45, 1 Sm 3.53, 2 Nd 3.74
Zn 0.5000 0.6667 0.3333  3 Pr 3.20, 6 Nd 3.45
Pr 0.5000 0.3111 0.3111  2 Zn 3.20, 2 Nd 3.41, 2 Sm 3.44
Pr 0.5000 0.0000 0.6889  2 Zn 3.20, 2 Nd 3.41, 2 Sm 3.44
Pr 0.5000 0.6889 0.0000  2 Zn 3.20, 2 Nd 3.41, 2 Sm 3.44
Nd 0.0000 0.6192 0.6192  6 Pr 3.41-3.76, 4 Zn 3.45, 1 Sm 3.53, 2 Nd 3.74
Zn 0.5000 0.3333 0.6667  3 Pr 3.20, 6 Nd 3.45
Sm 0.0000 0.0000 0.0000  6 Pr 3.44, 3 Nd 3.53, 2 Sm 3.74
Nd 0.0000 0.0000 0.3808  6 Pr 3.41-3.76, 4 Zn 3.45, 1 Sm 3.53, 2 Nd 3.74

Output
**SG**: P-62m (189)
**Energy relative to the elements**: -0.02 eV/atom
**Energy**: -4.007 eV/atom
**N(E_F)**: 12.81 states/eV per cell